Entry 1:
# EuTl2Rh

EuTl2Rh after structural relaxation (PBE, the Alexandria database).

## Properties
Total moment in μB/f.u.: 6.9
Crystal system: cubic
E_form in eV per formula unit: -0.6

CIF file:
```
data_EuTl2Rh
_space_group_name_H-M_alt 'P 1'
_space_group_IT_number 1
_cell_length_a 5.076
_cell_length_b 5.076
_cell_length_c 5.076
_cell_angle_alpha 60.00
_cell_angle_beta 60.00
_cell_angle_gamma 60.00
loop_
_space_group_symop_operation_xyz
'x,y,z'
loop_
_atom_site_label
_atom_site_type_symbol
_atom_site_fract_x
_atom_site_fract_y
_atom_site_fract_z
Eu1 Eu 0.000 0.000 0.000
Tl1 Tl 0.250 0.250 0.250
Tl2 Tl 0.750 0.750 0.750
Rh1 Rh 0.500 0.500 0.500
```

Entry 2:
# EuTlRh2

EuTlRh2 after structural relaxation (PBE, the Alexandria database).

## Properties
Total moment in μB/f.u.: 6.6
Crystal system: tetragonal
E_form in eV per formula unit: -0.9

CIF file:
```
data_EuTlRh2
_space_group_name_H-M_alt 'P 1'
_space_group_IT_number 1
_cell_length_a 4.575
_cell_length_b 4.575
_cell_length_c 3.696
_cell_angle_alpha 90.00
_cell_angle_beta 90.00
_cell_angle_gamma 90.00
loop_
_space_group_symop_operation_xyz
'x,y,z'
loop_
_atom_site_label
_atom_site_type_symbol
_atom_site_fract_x
_atom_site_fract_y
_atom_site_fract_z
Eu1 Eu 0.000 0.000 0.000
Tl1 Tl 0.500 0.500 0.000
Rh1 Rh 0.000 0.500 0.500
Rh2 Rh 0.500 0.000 0.500
```

Entry 3:
# EuYTlRh

EuYTlRh after structural relaxation (PBE, the Alexandria database).

## Properties
Total moment in μB/f.u.: 7.0
Crystal system: cubic
E_form in eV per formula unit: -1.5

CIF file:
```
data_EuYTlRh
_space_group_name_H-M_alt 'P 1'
_space_group_IT_number 1
_cell_length_a 5.196
_cell_length_b 5.196
_cell_length_c 5.196
_cell_angle_alpha 60.00
_cell_angle_beta 60.00
_cell_angle_gamma 60.00
loop_
_space_group_symop_operation_xyz
'x,y,z'
loop_
_atom_site_label
_atom_site_type_symbol
_atom_site_fract_x
_atom_site_fract_y
_atom_site_fract_z
Eu1 Eu 0.000 0.000 0.000
Y1 Y 0.500 0.500 0.500
Tl1 Tl 0.250 0.250 0.250
Rh1 Rh 0.750 0.750 0.750
```

Entry 4:
# EuTm2Rh

EuTm2Rh after structural relaxation (PBE, the Alexandria database).

## Properties
Relative energy among the computed polymorphs in meV/atom: 39
Total moment in μB/f.u.: 7.8
Crystal system: trigonal
E_form in eV per formula unit: -1.6

CIF file:
```
data_EuTm2Rh
_space_group_name_H-M_alt 'P 1'
_space_group_IT_number 1
_cell_length_a 9.564
_cell_length_b 9.564
_cell_length_c 9.564
_cell_angle_alpha 23.78
_cell_angle_beta 23.78
_cell_angle_gamma 23.78
loop_
_space_group_symop_operation_xyz
'x,y,z'
loop_
_atom_site_label
_atom_site_type_symbol
_atom_site_fract_x
_atom_site_fract_y
_atom_site_fract_z
Eu1 Eu 0.000 0.000 0.000
Tm1 Tm 0.220 0.220 0.220
Tm2 Tm 0.780 0.780 0.780
Rh1 Rh 0.500 0.500 0.500
```

Entry 5:
# EuTm2Rh

EuTm2Rh after structural relaxation (PBE, the Alexandria database).

## Properties
Relative energy among the computed polymorphs in meV/atom: 0
Total moment in μB/f.u.: 7.6
Crystal system: tetragonal
E_form in eV per formula unit: -1.8

CIF file:
```
data_EuTm2Rh
_space_group_name_H-M_alt 'P 1'
_space_group_IT_number 1
_cell_length_a 3.469
_cell_length_b 3.469
_cell_length_c 9.052
_cell_angle_alpha 90.00
_cell_angle_beta 90.00
_cell_angle_gamma 90.00
loop_
_space_group_symop_operation_xyz
'x,y,z'
loop_
_atom_site_label
_atom_site_type_symbol
_atom_site_fract_x
_atom_site_fract_y
_atom_site_fract_z
Eu1 Eu 0.000 0.000 0.000
Tm1 Tm 0.500 0.500 0.324
Tm2 Tm 0.500 0.500 0.676
Rh1 Rh 0.000 0.000 0.500
```

Entry 6:
# EuTmZnRh

EuTmZnRh after structural relaxation (PBE, the Alexandria database).

## Properties
Total moment in μB/f.u.: 6.8
Crystal system: cubic
E_form in eV per formula unit: -1.7

CIF file:
```
data_EuTmZnRh
_space_group_name_H-M_alt 'P 1'
_space_group_IT_number 1
_cell_length_a 4.976
_cell_length_b 4.976
_cell_length_c 4.976
_cell_angle_alpha 60.00
_cell_angle_beta 60.00
_cell_angle_gamma 60.00
loop_
_space_group_symop_operation_xyz
'x,y,z'
loop_
_atom_site_label
_atom_site_type_symbol
_atom_site_fract_x
_atom_site_fract_y
_atom_site_fract_z
Eu1 Eu 0.000 0.000 0.000
Tm1 Tm 0.500 0.500 0.500
Zn1 Zn 0.750 0.750 0.750
Rh1 Rh 0.250 0.250 0.250
```

Entry 7:
# EuURh2

EuURh2 after structural relaxation (PBE, the Alexandria database).

## Properties
Relative energy among the computed polymorphs in meV/atom: 0
Total moment in μB/f.u.: 8.4
Crystal system: tetragonal
E_form in eV per formula unit: -1.9

CIF file:
```
data_EuURh2
_space_group_name_H-M_alt 'P 1'
_space_group_IT_number 1
_cell_length_a 3.404
_cell_length_b 3.404
_cell_length_c 7.332
_cell_angle_alpha 90.00
_cell_angle_beta 90.00
_cell_angle_gamma 90.00
loop_
_space_group_symop_operation_xyz
'x,y,z'
loop_
_atom_site_label
_atom_site_type_symbol
_atom_site_fract_x
_atom_site_fract_y
_atom_site_fract_z
Eu1 Eu 0.000 0.000 0.000
U1 U 0.000 0.000 0.500
Rh1 Rh 0.500 0.500 0.295
Rh2 Rh 0.500 0.500 0.705
```

Entry 8:
# EuURh2

EuURh2 after structural relaxation (PBE, the Alexandria database).

## Properties
Relative energy among the computed polymorphs in meV/atom: 482
Total moment in μB/f.u.: 7.6
Crystal system: trigonal
E_form in eV per formula unit: 0.0

CIF file:
```
data_EuURh2
_space_group_name_H-M_alt 'P 1'
_space_group_IT_number 1
_cell_length_a 9.953
_cell_length_b 9.953
_cell_length_c 9.953
_cell_angle_alpha 18.39
_cell_angle_beta 18.39
_cell_angle_gamma 18.39
loop_
_space_group_symop_operation_xyz
'x,y,z'
loop_
_atom_site_label
_atom_site_type_symbol
_atom_site_fract_x
_atom_site_fract_y
_atom_site_fract_z
Eu1 Eu 0.000 0.000 0.000
U1 U 0.500 0.500 0.500
Rh1 Rh 0.422 0.422 0.422
Rh2 Rh 0.578 0.578 0.578
```